Below is a relaxed Eu2SeBr crystal, with properties calculated at the GGA-PBE level.

Properties
magnetization	14.44	μB/cell
D(E_F)	1.88	states/eV per cell
energy	-32.63	eV/cell
formation energy without anion corrections	-1.730	eV per atom

```
4
Lattice="-0.2866 -1.5370 4.0691 -2.9291 -3.0809 0.9649 3.7221 -6.5888 0.1084" Properties=species:S:1:pos:R:3 pbc="T T T"
Se 0.0000 0.0000 0.0000
Br 0.2532 -5.6033 2.5712
Eu 0.0158 -2.6850 1.3219
Eu 0.4906 -8.5216 3.8205
```


Below is a relaxed Eu2SnBr crystal, with properties calculated at the GGA-PBE level.

Properties
magnetization	14.25	μB/cell
D(E_F)	17.71	states/eV per cell
energy	-30.40	eV/cell
formation energy without anion corrections	-1.044	eV per atom
distance to the lowest polymorph of the same formula	5	meV per atom

```
4
Lattice="-4.2016 -0.7658 -1.0832 -1.1116 -0.6071 -4.2201 -0.5552 -8.2642 -0.9650" Properties=species:S:1:pos:R:3 pbc="T T T"
Eu -1.4682 -2.4022 -1.5678
Br -2.9342 -4.8185 -3.1342
Sn 0.0000 0.0000 0.0000
Eu -4.4002 -7.2348 -4.7005
```


Below is a relaxed Eu2SnBr crystal, with properties calculated at the GGA-PBE level.

Properties
magnetization	14.49	μB/cell
D(E_F)	8.44	states/eV per cell
energy	-30.42	eV/cell
formation energy without anion corrections	-1.048	eV per atom
distance to the lowest polymorph of the same formula	0	meV per atom

```
4
Lattice="-0.5873 3.4385 1.3710 -3.5735 -0.1644 -1.1185 -2.2085 -3.3892 7.5543" Properties=species:S:1:pos:R:3 pbc="T T T"
Br -3.1847 -0.0575 3.9034
Eu -0.5338 -0.8192 1.8258
Eu -1.6747 -2.5701 5.7285
Sn -2.0804 1.6371 0.1263
```